DFT (PBE) results for a relaxed structure of AgPtIO6.

abc: 5.2746 5.2746 10.3551
angles: 90.00 90.00 120.00
Space group P-31c (No. 163)
Inequivalent atoms, fractional coordinates:
Ag  0.0000  0.0000  0.0000 (multiplicity 2)
Pt  0.3333  0.6667  0.2500 (multiplicity 2)
I  0.3333  0.6667  0.7500 (multiplicity 2)
O  0.0105  0.3702  0.6454 (multiplicity 12)

Results
Energy ... -4.78 eV per atom
ΔE_f (raw) ... -316 meV per atom